This record from Alexandria via LeMat-Bulk describes a relaxed structure of La3Nd4ErTe8. The functional is PBE.

Lattice parameters (Å, degrees): 9.0411 9.0009 9.0330 120.06 120.03 90.00
Fractional coordinates of all 16 atoms:
La 0.5000 0.5000 0.0000
La 0.5000 0.5000 0.5000
La 0.0000 0.5000 0.5000
Nd 0.5000 0.0000 0.0000
Nd 0.5000 0.0000 0.5000
Nd 0.0000 0.0000 0.0000
Nd 0.0000 0.0000 0.5000
Er 0.0000 0.5000 0.0000
Te 0.2444 0.7475 0.0032
Te 0.2443 0.7474 0.4887
Te 0.2484 0.2452 0.4968
Te 0.7588 0.7475 0.0032
Te 0.2412 0.2525 0.9968
Te 0.7516 0.7548 0.5032
Te 0.7557 0.2526 0.5113
Te 0.7556 0.2525 0.9968

Output
* ΔE_f (raw): -140 kJ per mole of atoms

***

This record from Alexandria via LeMat-Bulk describes a relaxed structure of La3Nd2ErTe6. The functional is PBE.

Lattice parameters (Å, degrees): 4.4929 9.0597 10.0728 102.70 102.89 90.00
Fractional coordinates of all 12 atoms:
La 0.5000 0.5000 0.0000
La 0.8289 0.1657 0.6578
La 0.1711 0.8343 0.3422
Nd 0.8314 0.6644 0.6628
Nd 0.1686 0.3356 0.3372
Er 0.5000 0.0000 0.0000
Te 0.3403 0.9171 0.6806
Te 0.6667 0.5804 0.3334
Te 0.6597 0.0829 0.3194
Te 0.9998 0.2361 0.9996
Te 0.0002 0.7639 0.0004
Te 0.3333 0.4196 0.6666

Output
* ΔE_f (raw): -143 kJ per mole of atoms

***

This record from Alexandria via LeMat-Bulk describes a relaxed structure of LaNd3Er2Te6. The functional is PBE.

Lattice parameters (Å, degrees): 4.4148 8.9922 9.9847 103.61 102.77 90.00
Fractional coordinates of all 12 atoms:
La 0.5000 0.0000 0.0000
Nd 0.5000 0.5000 0.0000
Nd 0.8399 0.1709 0.6798
Nd 0.1601 0.8291 0.3202
Er 0.8343 0.6707 0.6686
Er 0.1657 0.3293 0.3314
Te 0.3288 0.9060 0.6577
Te 0.6708 0.5733 0.3417
Te 0.6712 0.0940 0.3423
Te 0.0065 0.2566 0.0131
Te 0.9935 0.7434 0.9869
Te 0.3292 0.4267 0.6583

Output
* ΔE_f (raw): -133 kJ per mole of atoms

***

This record from Alexandria via LeMat-Bulk describes a relaxed structure of LaNd4Er3Te8. The functional is PBE.

Lattice parameters (Å, degrees): 8.8152 8.9696 8.8163 119.44 120.00 90.00
Fractional coordinates of all 16 atoms:
La 0.0000 0.5000 0.0000
Nd 0.5000 0.0000 0.0000
Nd 0.5000 0.0000 0.5000
Nd 0.0000 0.0000 0.0000
Nd 0.0000 0.0000 0.5000
Er 0.5000 0.5000 0.0000
Er 0.5000 0.5000 0.5000
Er 0.0000 0.5000 0.5000
Te 0.2515 0.7406 0.9891
Te 0.2515 0.7406 0.5030
Te 0.2553 0.2659 0.5106
Te 0.7376 0.7406 0.9891
Te 0.2624 0.2594 0.0109
Te 0.7447 0.7341 0.4894
Te 0.7485 0.2594 0.4970
Te 0.7485 0.2594 0.0109

Output
* ΔE_f (raw): -131 kJ per mole of atoms

***

This record from Alexandria via LeMat-Bulk describes a relaxed structure of La2NdErTe5. The functional is PBE.

Lattice parameters (Å, degrees): 5.4777 5.4777 11.7715 90.00 90.00 90.00
Last column: magnetic moment on the atom in μB.
Fractional coordinates of all 9 atoms:
La 0.5000 0.5000 0.3296  0.28
La 0.5000 0.5000 0.6704  0.28
Nd 0.0000 0.0000 0.0000  0.02
Er 0.0000 0.0000 0.5000  0.04
Te 0.0000 0.5000 0.5000  -0.01
Te 0.5000 0.0000 0.5000  -0.01
Te 0.0000 0.0000 0.7497  0.00
Te 0.0000 0.0000 0.2503  0.00
Te 0.5000 0.5000 0.0000  0.01

Output
* ΔE_f (raw): -96 kJ per mole of atoms

***

This record from Alexandria via LeMat-Bulk describes a relaxed structure of LaNd2Er4Th. The functional is PBE.

Lattice parameters (Å, degrees): 5.1399 5.1330 11.1630 62.67 90.00 90.00
Fractional coordinates of all 8 atoms:
La 0.5000 0.5000 0.0000
Nd 0.0000 0.0000 0.0000
Nd 0.5000 0.0000 0.5000
Er 0.0000 0.7562 0.7439
Er 0.0000 0.2438 0.2561
Er 0.5000 0.7433 0.2562
Er 0.5000 0.2567 0.7438
Th 0.0000 0.5000 0.5000

Output
* energy relative to the elements: 0.25 eV per formula unit

***

This record from Alexandria via LeMat-Bulk describes a relaxed structure of LaNd2Er5Th. The functional is PBE.

Lattice parameters (Å, degrees): 8.6815 8.6815 9.9061 115.99 115.99 90.00
Fractional coordinates of all 18 atoms:
La 0.2500 0.7500 0.5000
La 0.7500 0.2500 0.5000
Nd 0.1169 0.3831 0.0000
Nd 0.6169 0.1169 0.0000
Nd 0.3831 0.8831 0.0000
Nd 0.8831 0.6169 0.0000
Er 0.9266 0.4266 0.2763
Er 0.6502 0.1502 0.7237
Er 0.0734 0.5734 0.7237
Er 0.1502 0.0734 0.7237
Er 0.5734 0.6502 0.7237
Er 0.8498 0.9266 0.2763
Er 0.4266 0.3498 0.2763
Er 0.3498 0.8498 0.2763
Er 0.5000 0.5000 0.0000
Er 0.0000 0.0000 0.0000
Th 0.2500 0.2500 0.5000
Th 0.7500 0.7500 0.5000

Output
* energy relative to the elements: 2.49 eV per formula unit

***

This record from Alexandria via LeMat-Bulk describes a relaxed structure of LaNd3ErTh. The functional is PBE.

Lattice parameters (Å, degrees): 5.1506 8.1777 10.9352 116.58 90.00 90.00
Fractional coordinates of all 12 atoms:
La 0.2500 0.1196 0.2927
La 0.7500 0.8804 0.7073
Nd 0.7500 0.8631 0.0452
Nd 0.2500 0.1369 0.9548
Nd 0.2500 0.6291 0.4547
Nd 0.7500 0.3709 0.5453
Nd 0.7500 0.3856 0.2044
Nd 0.2500 0.6144 0.7956
Er 0.2500 0.1286 0.6284
Er 0.7500 0.8714 0.3716
Th 0.2500 0.6221 0.1226
Th 0.7500 0.3779 0.8774

Output
* energy relative to the elements: 0.22 eV per formula unit